Computed, not measured: a relaxed structure of RbMgSn2 at the PBE level of DFT.

```
4
Lattice="3.854 0.000 0.000 0.000 3.854 0.000 0.000 0.000 8.369" Properties=species:S:1:pos:R:3 pbc="T T T"
Rb 0.000 0.000 0.000
Mg 0.000 0.000 4.185
Sn 1.927 1.927 2.662
Sn 1.927 1.927 5.708
```

ΔH_f (0 K)	-160	meV/atom
density of states at the Fermi level	1.3	states/eV/f.u.
SG	No. 123

---

Computed, not measured: a relaxed structure of RbMgTcSn2 at the PBE level of DFT.

```
5
Lattice="5.209 0.000 0.000 0.000 5.209 0.000 0.000 0.000 5.329" Properties=species:S:1:pos:R:3 pbc="T T T"
Rb 0.000 0.000 0.000
Mg 2.605 2.605 0.000
Tc 2.605 2.605 2.665
Sn 0.000 2.605 2.665
Sn 2.605 0.000 2.665
```

ΔH_f (0 K)	-20	meV/atom
density of states at the Fermi level	1.2	states/eV/f.u.
SG	No. 123

---

Computed, not measured: a relaxed structure of Rb2MgSnTe4 at the PBE level of DFT.

```
16
Lattice="0.000 7.733 13.493 3.429 0.000 13.493 3.429 7.733 0.000" Properties=species:S:1:pos:R:3 pbc="T T T"
Rb 2.572 5.800 1.618
Rb 4.287 9.667 8.364
Rb 2.572 5.800 18.622
Rb 4.287 9.667 25.369
Mg 0.857 1.933 3.373
Mg 6.001 13.533 23.613
Sn 2.572 5.800 10.120
Sn 4.287 9.667 16.867
Te 2.611 3.566 4.874
Te 4.247 7.433 11.621
Te 2.533 8.034 4.874
Te 2.533 3.566 15.366
Te 4.326 11.900 11.621
Te 4.326 7.433 22.112
Te 2.611 8.034 15.366
Te 4.247 11.900 22.112
```

energy	-3.22	eV/atom
SG	No. 70

---

Computed, not measured: a relaxed structure of Rb2MgTiSn at the PBE level of DFT.

```
5
Lattice="6.530 0.000 0.000 0.000 6.530 0.000 0.000 0.000 5.553" Properties=species:S:1:pos:R:3 pbc="T T T"
Rb 0.000 3.265 0.000
Rb 3.265 0.000 0.000
Mg 0.000 0.000 2.776
Ti 0.000 0.000 0.000
Sn 3.265 3.265 2.776
```

ΔH_f (0 K)	1045	meV/atom
density of states at the Fermi level	6.7	states/eV/f.u.
SG	No. 123

---

Computed, not measured: a relaxed structure of RbMgTiSn2 at the PBE level of DFT.

```
5
Lattice="5.371 0.000 0.000 0.000 5.371 0.000 0.000 0.000 5.663" Properties=species:S:1:pos:R:3 pbc="T T T"
Rb 0.000 0.000 0.000
Mg 2.686 2.686 0.000
Ti 2.686 2.686 2.832
Sn 0.000 2.686 2.832
Sn 2.686 0.000 2.832
```

ΔH_f (0 K)	85	meV/atom
density of states at the Fermi level	3.4	states/eV/f.u.
SG	No. 123

---

Computed, not measured: a relaxed structure of RbMgTlSn2 at the PBE level of DFT.

```
10
Lattice="5.190 0.000 0.000 0.000 5.190 0.000 0.000 0.000 12.263" Properties=species:S:1:pos:R:3 pbc="T T T"
Rb 0.000 0.000 0.000
Rb 2.595 2.595 6.132
Mg 0.000 2.595 3.066
Mg 2.595 0.000 9.198
Tl 0.000 2.595 9.198
Tl 2.595 0.000 3.066
Sn 0.000 0.000 4.685
Sn 0.000 0.000 7.578
Sn 2.595 2.595 1.447
Sn 2.595 2.595 10.817
```

ΔH_f (0 K)	-141	meV/atom
density of states at the Fermi level	2.1	states/eV/f.u.
SG	No. 119